No. 1
First-principles (PBE-GGA) data for a geometry-optimized LiPt2Au structure, as listed in Alexandria.

Output
Size of the total moment (μB/cell): 0.000
Energy relative to the elements (eV per atom): -0.247
E (eV/atom): -4.565

Unit cell a=2.7761 b=2.7761 c=7.9919 alpha=90.00 beta=90.00 gamma=90.00
With the nearest neighbours (Å) after each atom.
Space group P4mm (No. 99)
Symmetry-distinct sites (fractional):
Li 0.0000 0.0000 0.0000  4 Pt 2.68, 4 Li 2.78, 4 Au 2.78
Pt 0.0000 0.0000 0.4821  8 Pt 2.78-2.83, 4 Au 2.92
Pt 0.5000 0.5000 0.2275  4 Li 2.68, 8 Pt 2.78-2.83
Au 0.5000 0.5000 0.7531  4 Au 2.78, 4 Li 2.78, 4 Pt 2.92



No. 2
First-principles (PBE-GGA) data for a geometry-optimized LiPtAu2 structure, as listed in Alexandria.

Output
Size of the total moment (μB/cell): 0.000
Energy relative to the elements (eV per atom): -0.305
E (eV/atom): -3.932

Unit cell a=9.5554 b=2.8452 c=4.8768 alpha=90.00 beta=99.54 gamma=90.00
With the nearest neighbours (Å) after each atom.
Space group Cm (No. 8)
Symmetry-distinct sites (fractional):
Li 0.0000 0.0000 0.0000  7 Au 2.76-2.89, 3 Pt 2.83-2.90, 2 Li 2.85
Pt 0.2445 0.5000 0.2487  7 Au 2.79-2.86, 3 Li 2.83-2.90, 2 Pt 2.85
Au 0.2463 0.0000 0.7571  4 Pt 2.79-2.86, 3 Li 2.80-2.89, 5 Au 2.85-2.93
Au 0.4926 0.0000 0.4835  4 Li 2.76-2.88, 3 Pt 2.83-2.84, 5 Au 2.85-2.93



No. 3
First-principles (PBE-GGA) data for a geometry-optimized LiPtAu3 structure, as listed in Alexandria.

Output
Size of the total moment (μB/cell): 0.000
Energy relative to the elements (eV per atom): -0.193
E (eV/atom): -3.751

Unit cell a=11.6498 b=7.9350 c=9.3471 alpha=90.00 beta=127.65 gamma=90.00
With the nearest neighbours (Å) after each atom.
Space group C2/c (No. 15)
Symmetry-distinct sites (fractional):
Li 0.0000 0.0023 0.2500  6 Au 2.67-2.90, 2 Pt 2.80
Li 0.0000 0.3813 0.7500  4 Au 2.61-2.70, 2 Pt 2.80
Pt 0.1400 0.3106 0.3093  2 Pt 2.73-3.01, 8 Au 2.74-3.05, 2 Li 2.80
Au 0.0720 0.1708 0.5415  2 Li 2.67-2.90, 3 Pt 2.74-2.94, 3 Au 2.77-2.91
Au 0.1724 0.4962 0.0795  1 Li 2.61, 2 Pt 2.78-2.81, 4 Au 2.79-2.85
Au 0.2139 0.1482 0.0890  2 Li 2.70-2.83, 6 Au 2.77-2.91, 2 Pt 2.97-3.00



No. 4
First-principles (PBE-GGA) data for a geometry-optimized LiPt2Au structure, as listed in Alexandria.

Output
Size of the total moment (μB/cell): 0.000
Energy relative to the elements (eV per atom): -0.349
E (eV/atom): -4.667

Unit cell a=5.6551 b=7.7741 c=5.6450 alpha=90.00 beta=90.00 gamma=90.00
With the nearest neighbours (Å) after each atom.
Space group Imma (No. 74)
Symmetry-distinct sites (fractional):
Li 0.2500 0.2500 0.2500  6 Pt 2.79-2.82, 4 Au 2.79, 2 Li 2.83
Pt 0.0000 0.0000 0.0000  4 Li 2.79, 4 Pt 2.79, 4 Au 2.82-2.83
Pt 0.2500 0.2500 0.7500  6 Pt 2.79-2.83, 4 Au 2.79, 2 Li 2.82
Au 0.0000 0.0000 0.5000  4 Li 2.79, 8 Pt 2.79-2.83



No. 5
First-principles (PBE-GGA) data for a geometry-optimized LiPt2Au structure, as listed in Alexandria.

Output
Size of the total moment (μB/cell): 0.000
Energy relative to the elements (eV per atom): -0.296
E (eV/atom): -4.614

Unit cell a=5.5137 b=8.0637 c=2.8060 alpha=90.00 beta=90.00 gamma=90.00
With the nearest neighbours (Å) after each atom.
Space group Cmmm (No. 65)
Symmetry-distinct sites (fractional):
Li 0.0000 0.0000 0.0000  2 Au 2.76, 2 Li 2.81, 8 Pt 2.82
Pt 0.2500 0.2500 0.5000  4 Pt 2.76-2.81, 4 Li 2.82, 4 Au 2.82
Au 0.0000 0.5000 0.0000  2 Li 2.76, 2 Au 2.81, 8 Pt 2.82



No. 6
First-principles (PBE-GGA) data for a geometry-optimized LiPtAu2 structure, as listed in Alexandria.

Output
Size of the total moment (μB/cell): 0.000
Energy relative to the elements (eV per atom): -0.059
E (eV/atom): -3.687

Unit cell a=3.8875 b=3.8875 c=18.8064 alpha=90.00 beta=90.00 gamma=90.00
With the nearest neighbours (Å) after each atom.
Space group I-42d (No. 122)
Symmetry-distinct sites (fractional):
Li 0.0000 0.0000 0.0000  4 Au 2.72, 4 Pt 2.75
Pt 0.0000 0.0000 0.5000  4 Au 2.72, 4 Li 2.75
Au 0.2491 0.2500 0.1250  2 Li 2.72, 2 Pt 2.72, 4 Au 2.74-2.75